Entry 1:
## LaZn11Pt (PBE-GGA)

Data for a relaxed structure of LaZn11Pt.

```
LaZn11Pt
1.0
-1.168 -1.992 4.672
-4.578 -5.192 -0.400
4.236 -5.200 1.748
La Zn Pt
1 11 1
direct
0.000 0.000 0.000
0.274 0.222 0.225
0.726 0.778 0.775
0.500 0.778 0.225
0.500 0.222 0.775
0.368 0.643 0.646
0.632 0.357 0.354
0.986 0.357 0.646
0.014 0.643 0.354
0.000 0.500 0.000
0.500 0.000 0.500
0.000 0.000 0.500
0.500 0.500 0.000
```

Computed properties:
Total moment ... 0.0 Bohr magnetons per cell
Symmetry ... No. 12
DOS at the Fermi energy ... 0.3828 states/eV/atom
Calculated formation energy ... -0.282 eV per atom

=====

Entry 2:
## LaZn4Pt (PBE-GGA)

Data for a relaxed structure of LaZn4Pt.

```
LaZn4Pt
1.0
4.114 0.000 0.000
0.000 7.197 0.000
0.000 0.000 7.857
La Zn Pt
2 8 2
direct
0.000 0.617 0.750
0.000 0.383 0.250
0.000 0.000 0.500
0.000 0.000 0.000
0.500 0.955 0.750
0.500 0.045 0.250
0.500 0.699 0.054
0.500 0.301 0.946
0.500 0.699 0.446
0.500 0.301 0.554
0.000 0.211 0.750
0.000 0.789 0.250
```

Computed properties:
Total moment ... 0.0 Bohr magnetons per cell
Symmetry ... No. 51
ΔE to the lowest computed polymorph ... 0 meV per atom
DOS at the Fermi energy ... 0.5467 states/eV/atom
Calculated formation energy ... -0.471 eV per atom

=====

Entry 3:
## LaZn2Pt2 (PBE-GGA)

Data for a relaxed structure of LaZn2Pt2.

```
LaZn2Pt2
1.0
-2.267 5.795 4.755
-6.544 -3.953 1.698
1.367 -1.301 2.237
Zn Pt La
4 4 2
direct
0.385 0.885 0.000
0.885 0.615 0.000
0.615 0.115 0.000
0.115 0.385 0.000
0.180 0.680 0.500
0.680 0.820 0.500
0.820 0.320 0.500
0.320 0.180 0.500
0.000 0.000 0.000
0.500 0.500 0.000
```

Computed properties:
Total moment ... 0.0 Bohr magnetons per cell
Symmetry ... No. 127
ΔE to the lowest computed polymorph ... 184 meV per atom
DOS at the Fermi energy ... 0.5485 states/eV/atom
Calculated formation energy ... -0.648 eV per atom

=====

Question: DOS at the Fermi energy of number 2 (LaZn4Pt)?
Answer: 0.5467 states/eV/atom